Crystalline SbAs3O at its relaxed geometry. Source: the Alexandria database, functional GGA-PBE.

Cell: 5.267 5.267 5.267 Å, 90.00 90.00 90.00°
Element x y z (fractional)
Sb  0.000  0.000  0.000
As  0.000  0.000  0.500
As  0.000  0.500  0.000
As  0.500  0.000  0.000
O  0.500  0.500  0.500

- total DFT energy (no corrections) (eV per atom) = -3.0495
- polymorph energy (0 for the lowest one) (eV/atom) = 1.309
- calculated volume (Å³/cell) = 146.08
- ΔE_f (raw) (meV/atom) = 1556